(1)
DFT (PBE) results for HoTmRuPt after structural relaxation.

Unit cell a=6.822 b=6.822 c=6.822 alpha=90.00 beta=90.00 gamma=90.00
Space group F-43m (No. 216)
Asymmetric unit:
Ho 0.000 0.000 0.000
Tm 0.000 0.000 0.500
Ru 0.250 0.250 0.750
Pt 0.250 0.250 0.250

Computed properties:
The magnetic moment is 0.0 μB/cell. For the density of states at the Fermi level, the calculation gives 0.528 states/eV/atom. As for the energy of formation from the pure elements: -82 kJ/mol of atoms. As for the total energy: -6.94 eV per atom.

=====

(2)
DFT (PBE) results for HoZrRuPt after structural relaxation.

Unit cell a=6.743 b=6.743 c=6.743 alpha=90.00 beta=90.00 gamma=90.00
Space group F-43m (No. 216)
Asymmetric unit:
Ho 0.000 0.000 0.000
Zr 0.000 0.000 0.500
Ru 0.250 0.250 0.250
Pt 0.250 0.250 0.750

Computed properties:
The magnetic moment is 0.0 μB/cell. For the density of states at the Fermi level, the calculation gives 0.568 states/eV/atom. As for the energy of formation from the pure elements: -73 kJ/mol of atoms. As for the total energy: -7.86 eV per atom.

=====

(3)
DFT (PBE) results for Ho6Pt2S after structural relaxation.

Unit cell a=6.475 b=7.171 c=11.610 alpha=90.00 beta=120.70 gamma=90.00
Space group P2_1/c (No. 14)
Asymmetric unit:
Ho 0.096 0.188 0.432
Ho 0.252 0.669 0.428
Ho 0.394 0.038 0.245
Pt 0.178 0.114 0.735
S 0.500 0.000 0.500

Computed properties:
The magnetic moment is 0.0 μB/cell. For the density of states at the Fermi level, the calculation gives 0.977 states/eV/atom. The value obtained for the energy relative to the elements, uncorrected is -1.048 eV per atom. As for the total energy: -5.90 eV per atom.

=====

(4)
DFT (PBE) results for Ho4PtS3 after structural relaxation.

Unit cell a=8.016 b=11.226 c=3.878 alpha=90.00 beta=90.00 gamma=90.00
Space group Cmmm (No. 65)
Asymmetric unit:
Ho 0.000 0.249 0.000
Ho 0.248 0.500 0.500
Pt 0.000 0.500 0.000
S 0.000 0.000 0.000
S 0.250 0.250 0.500

Computed properties:
The magnetic moment is 0.0 μB/cell. For the density of states at the Fermi level, the calculation gives 0.454 states/eV/atom. The value obtained for the energy relative to the elements, uncorrected is -1.761 eV per atom. As for the total energy: -6.35 eV per atom.

=====

(5)
DFT (PBE) results for Ho7PtS5 after structural relaxation.

Unit cell a=3.849 b=23.376 c=6.682 alpha=90.00 beta=106.67 gamma=90.00
Space group P2_1/m (No. 11)
Asymmetric unit:
Ho 0.037 0.250 0.073
Ho 0.137 0.537 0.276
Ho 0.306 0.178 0.613
Ho 0.410 0.610 0.820
Pt 0.302 0.750 0.604
S 0.050 0.641 0.100
S 0.225 0.070 0.450
S 0.500 0.000 0.000

Computed properties:
The magnetic moment is 0.0 μB/cell. For the density of states at the Fermi level, the calculation gives 0.523 states/eV/atom. The value obtained for the energy relative to the elements, uncorrected is -1.748 eV per atom. As for the total energy: -6.26 eV per atom.

=====

(6)
DFT (PBE) results for Ho8PtSe4S3 after structural relaxation.

Unit cell a=7.9960 b=7.9960 c=19.8281 alpha=90.00 beta=90.00 gamma=120.00
Space group R-3m (No. 166, hexagonal axes)
Asymmetric unit:
Ho 0.0000 0.0000 0.2427
Ho 0.0029 0.5015 0.2437
Pt 0.0000 0.0000 0.5000
Se 0.0000 0.0000 0.0000
Se 0.0000 0.5000 0.0000
S 0.0000 0.5000 0.5000

Computed properties:
The magnetic moment is 0.0 μB/cell. For the density of states at the Fermi level, the calculation gives 0.313 states/eV/atom. The value obtained for the energy relative to the elements, uncorrected is -1.775 eV per atom. As for the total energy: -6.09 eV per atom.

=====

(7)
DFT (PBE) results for Ho4PtSe2S after structural relaxation.

Unit cell a=7.065 b=3.959 c=7.097 alpha=90.00 beta=108.98 gamma=90.00
Space group P2/m (No. 10)
Asymmetric unit:
Ho 0.238 0.000 0.230
Ho 0.255 0.500 0.765
Pt 0.000 0.500 0.000
Se 0.000 0.000 0.500
Se 0.500 0.500 0.500
S 0.500 0.000 0.000

Computed properties:
The magnetic moment is 0.0 μB/cell. For the density of states at the Fermi level, the calculation gives 0.534 states/eV/atom. The value obtained for the energy relative to the elements, uncorrected is -1.670 eV per atom. As for the total energy: -6.10 eV per atom.

=====

(8)
DFT (PBE) results for Ho6Pt2Se3S after structural relaxation.

Unit cell a=6.930 b=12.024 c=7.273 alpha=90.00 beta=108.37 gamma=90.00
Space group C2/m (No. 12)
Asymmetric unit:
Ho 0.239 0.000 0.234
Ho 0.247 0.330 0.231
Pt 0.000 0.167 0.000
Se 0.000 0.000 0.500
Se 0.000 0.337 0.500
S 0.000 0.500 0.000

Computed properties:
The magnetic moment is 0.0 μB/cell. For the density of states at the Fermi level, the calculation gives 0.460 states/eV/atom. The value obtained for the energy relative to the elements, uncorrected is -1.611 eV per atom. As for the total energy: -6.12 eV per atom.

=====

(9)
DFT (PBE) results for Ho6PtSe3S2 after structural relaxation.

Unit cell a=6.959 b=12.051 c=6.991 alpha=90.00 beta=109.54 gamma=90.00
Space group C2/m (No. 12)
Asymmetric unit:
Ho 0.242 0.166 0.233
Ho 0.246 0.500 0.236
Pt 0.000 0.000 0.000
Se 0.000 0.171 0.500
Se 0.000 0.500 0.500
S 0.000 0.334 0.000

Computed properties:
The magnetic moment is 0.0 μB/cell. For the density of states at the Fermi level, the calculation gives 0.267 states/eV/atom. The value obtained for the energy relative to the elements, uncorrected is -1.755 eV per atom. As for the total energy: -6.11 eV per atom.

=====

(10)
DFT (PBE) results for Ho8PtSe3S4 after structural relaxation.

Unit cell a=7.9651 b=7.9651 c=19.5379 alpha=90.00 beta=90.00 gamma=120.00
Space group R-3m (No. 166, hexagonal axes)
Asymmetric unit:
Ho 0.0000 0.0000 0.2429
Ho 0.0104 0.5052 0.7529
Pt 0.0000 0.0000 0.0000
Se 0.0000 0.5000 0.0000
S 0.0000 0.0000 0.5000
S 0.0000 0.5000 0.5000

Computed properties:
The magnetic moment is 0.0 μB/cell. For the density of states at the Fermi level, the calculation gives 0.348 states/eV/atom. The value obtained for the energy relative to the elements, uncorrected is -1.792 eV per atom. As for the total energy: -6.14 eV per atom.

=====

(11)
DFT (PBE) results for Ho8Pt3Se4S after structural relaxation.

Unit cell a=8.0013 b=8.0013 c=20.8120 alpha=90.00 beta=90.00 gamma=120.00
Space group R-3m (No. 166, hexagonal axes)
Asymmetric unit:
Ho 0.0000 0.0000 0.2429
Ho 0.0055 0.5028 0.7553
Pt 0.0000 0.5000 0.5000
Se 0.0000 0.0000 0.0000
Se 0.0000 0.5000 0.0000
S 0.0000 0.0000 0.5000

Computed properties:
The magnetic moment is 0.0 μB/cell. For the density of states at the Fermi level, the calculation gives 0.550 states/eV/atom. The value obtained for the energy relative to the elements, uncorrected is -1.565 eV per atom. As for the total energy: -6.12 eV per atom.

=====

(12)
DFT (PBE) results for Ho4TePtS2 after structural relaxation.

Unit cell a=7.057 b=3.957 c=7.173 alpha=90.00 beta=108.37 gamma=90.00
Space group P2/m (No. 10)
Asymmetric unit:
Ho 0.224 0.000 0.224
Ho 0.233 0.500 0.755
Te 0.500 0.500 0.500
Pt 0.000 0.000 0.500
S 0.000 0.500 0.000
S 0.500 0.000 0.000

Computed properties:
The magnetic moment is 0.0 μB/cell. For the density of states at the Fermi level, the calculation gives 0.553 states/eV/atom. The value obtained for the energy relative to the elements, uncorrected is -1.556 eV per atom. As for the total energy: -6.02 eV per atom.

=====

(13)
DFT (PBE) results for HoSbPt5 after structural relaxation.

Unit cell a=8.754 b=5.533 c=10.759 alpha=90.00 beta=90.00 gamma=90.00
Space group Pnma (No. 62)
Asymmetric unit:
Ho 0.246 0.250 0.047
Sb 0.163 0.250 0.346
Pt 0.061 0.507 0.796
Pt 0.075 0.250 0.572
Pt 0.092 0.750 0.021
Pt 0.183 0.750 0.281

Computed properties:
The magnetic moment is 0.0 μB/cell. For the density of states at the Fermi level, the calculation gives 0.709 states/eV/atom. The value obtained for the energy relative to the elements, uncorrected is -0.605 eV per atom. As for the total energy: -6.16 eV per atom.

=====

(14)
DFT (PBE) results for Ho6Sb2Pt after structural relaxation.

Unit cell a=6.358 b=7.961 c=11.797 alpha=90.00 beta=121.36 gamma=90.00
Space group P2_1/c (No. 14)
Asymmetric unit:
Ho 0.085 0.190 0.455
Ho 0.320 0.673 0.455
Ho 0.376 0.028 0.241
Sb 0.152 0.116 0.747
Pt 0.500 0.000 0.500

Computed properties:
The magnetic moment is 0.0 μB/cell. For the density of states at the Fermi level, the calculation gives 1.044 states/eV/atom. The value obtained for the energy relative to the elements, uncorrected is -0.739 eV per atom. As for the total energy: -5.38 eV per atom.

=====

(15)
DFT (PBE) results for Ho4Sb2Pt after structural relaxation.

Unit cell a=15.367 b=4.268 c=7.322 alpha=90.00 beta=117.03 gamma=90.00
Space group C2/m (No. 12)
Asymmetric unit:
Ho 0.115 0.000 0.427
Ho 0.117 0.500 0.982
Sb 0.231 0.500 0.732
Pt 0.000 0.000 0.000

Computed properties:
The magnetic moment is 0.0 μB/cell. For the density of states at the Fermi level, the calculation gives 0.562 states/eV/atom. The value obtained for the energy relative to the elements, uncorrected is -0.843 eV per atom. As for the total energy: -5.50 eV per atom.

=====

(16)
DFT (PBE) results for HoSb2Pt7 after structural relaxation.

Unit cell a=4.051 b=4.051 c=22.993 alpha=90.00 beta=90.00 gamma=90.00
Space group I4/mmm (No. 139)
Asymmetric unit:
Ho 0.000 0.000 0.000
Sb 0.000 0.000 0.330
Pt 0.000 0.000 0.500
Pt 0.000 0.500 0.092
Pt 0.000 0.500 0.250

Computed properties:
The magnetic moment is 0.0 μB/cell. For the density of states at the Fermi level, the calculation gives 0.294 states/eV/atom. The value obtained for the energy relative to the elements, uncorrected is -0.619 eV per atom. As for the total energy: -6.13 eV per atom.

=====

(17)
DFT (PBE) results for Ho3SbPt12 after structural relaxation.

Unit cell a=4.105 b=4.105 c=16.392 alpha=90.00 beta=90.00 gamma=90.00
Space group P4/mmm (No. 123)
Asymmetric unit:
Ho 0.000 0.000 0.000
Ho 0.000 0.000 0.249
Sb 0.000 0.000 0.500
Pt 0.000 0.500 0.125
Pt 0.000 0.500 0.377
Pt 0.500 0.500 0.000
Pt 0.500 0.500 0.253
Pt 0.500 0.500 0.500

Computed properties:
The magnetic moment is 0.0 μB/cell. For the density of states at the Fermi level, the calculation gives 0.691 states/eV/atom. The value obtained for the energy relative to the elements, uncorrected is -0.846 eV per atom. As for the total energy: -6.49 eV per atom.

=====

(18)
DFT (PBE) results for Ho8Sb2Pt3 after structural relaxation.

Unit cell a=15.809 b=7.965 c=6.915 alpha=90.00 beta=107.03 gamma=90.00
Space group C2/m (No. 12)
Asymmetric unit:
Ho 0.088 0.000 0.352
Ho 0.098 0.500 0.409
Ho 0.107 0.256 0.901
Sb 0.245 0.000 0.168
Pt 0.000 0.240 0.500
Pt 0.000 0.500 0.000

Computed properties:
The magnetic moment is 0.0 μB/cell. For the density of states at the Fermi level, the calculation gives 0.755 states/eV/atom. The value obtained for the energy relative to the elements, uncorrected is -0.803 eV per atom. As for the total energy: -5.65 eV per atom.

=====

(19)
DFT (PBE) results for Ho6SbPt2Se3 after structural relaxation.

Unit cell a=18.328 b=4.067 c=8.458 alpha=90.00 beta=106.16 gamma=90.00
Space group C2/m (No. 12)
Asymmetric unit:
Ho 0.009 0.000 0.264
Ho 0.169 0.500 0.581
Ho 0.173 0.500 0.117
Sb 0.000 0.500 0.000
Pt 0.171 0.000 0.349
Se 0.000 0.500 0.500
Se 0.161 0.000 0.845

Computed properties:
The magnetic moment is 0.0 μB/cell. For the density of states at the Fermi level, the calculation gives 0.616 states/eV/atom. The value obtained for the energy relative to the elements, uncorrected is -1.444 eV per atom. As for the total energy: -5.95 eV per atom.